A relaxed structure of YZn2Mo, computed with GGA-PBE.

Computed properties:
E_form: 0.119 eV per atom
distance to the lowest polymorph of the same formula: 0.100 eV per atom
uncorrected energy: -4.84 eV/atom

Unit cell a=6.642 b=6.642 c=6.642 alpha=90.00 beta=90.00 gamma=90.00
Space group Fm-3m (No. 225)
Unique sites:
Y (0.000, 0.000, 0.000) (multiplicity 4)
Zn (0.250, 0.250, 0.250) (multiplicity 8)
Mo (0.000, 0.000, 0.500) (multiplicity 4)